Material: MnZnN2
Method: DFT, PBE
State: optimized geometry

POSCAR file:
```
MnZnN2
1.0
5.463 0.000 0.000
0.000 6.260 0.000
0.000 0.000 5.206
Mn Zn N
4 4 8
Cartesian
0.393 0.792 0.000
2.338 3.923 2.603
3.125 2.338 0.000
5.070 5.468 2.603
0.485 3.883 0.016
2.247 0.753 2.619
3.216 5.507 0.016
4.978 2.377 2.619
0.348 0.675 1.817
0.596 4.028 2.063
2.136 0.898 4.666
2.383 3.806 4.420
3.080 2.455 1.817
3.328 5.362 2.063
4.867 2.232 4.666
5.115 5.585 4.420
```

Values from the calculation:
The symmetry is No. 33.

=====

Material: Mn2ZnN
Method: DFT, PBE
State: optimized geometry

POSCAR file:
```
Mn2ZnN
1.0
1.407 0.812 6.438
-1.407 0.812 6.438
0.000 -1.625 6.438
Mn Zn N
2 1 1
Cartesian
0.000 0.000 4.310
0.000 0.000 15.003
0.000 0.000 0.000
0.000 0.000 9.656
```

Values from the calculation:
The symmetry is No. 166.

=====

no.,raw formation energy (eV/atom),volume (Å³/cell),theoretical density (g/cm3)
1,-0.04,178,5.5
2,-0.20,44,7.1